1.
# La3Nd4HoSe8 PBE optimized geometry
# Formation energy without anion corrections ... -181.3 kJ per mole of atoms
# Total energy ... -6.02 eV/atom
data_La3Nd4HoSe8
_chemical_formula_sum 'La9 Nd12 Ho3 Se24'
_space_group_name_H-M_alt 'R -3 m'
_space_group_IT_number 166
_space_group_name_Hall '-R 3 2"'
_cell_length_a 8.4946
_cell_length_b 8.4946
_cell_length_c 20.7375
_cell_angle_alpha 90.00
_cell_angle_beta 90.00
_cell_angle_gamma 120.00
loop_
_atom_site_label
_atom_site_type_symbol
_atom_site_fract_x
_atom_site_fract_y
_atom_site_fract_z
La1 La 0.0000 0.5000 0.0000
Nd1 Nd 0.0000 0.0000 0.5000
Nd2 Nd 0.0000 0.5000 0.5000
Ho1 Ho 0.0000 0.0000 0.0000
Se1 Se 0.0000 0.0000 0.2484
Se2 Se 0.0101 0.5051 0.7489

***

2.
# AlVSeN2 PBE optimized geometry
# Formation energy without anion corrections ... 54.1 kJ per mole of atoms
# Total energy ... -6.04 eV/atom
# ΔE to the lowest computed polymorph ... 0.3761 eV per atom
data_AlVSeN2
_chemical_formula_sum 'Al1 V1 Se1 N2'
_space_group_name_H-M_alt 'P 4/m m m'
_space_group_IT_number 123
_space_group_name_Hall '-P 4 2'
_cell_length_a 3.721
_cell_length_b 3.721
_cell_length_c 5.231
_cell_angle_alpha 90.00
_cell_angle_beta 90.00
_cell_angle_gamma 90.00
loop_
_atom_site_label
_atom_site_type_symbol
_atom_site_fract_x
_atom_site_fract_y
_atom_site_fract_z
Al1 Al 0.000 0.000 0.000
V1 V 0.500 0.500 0.500
Se1 Se 0.000 0.000 0.500
N1 N 0.000 0.500 0.000

***

3.
# Pr2DyTe4 PBE optimized geometry
# Formation energy without anion corrections ... -138.9 kJ per mole of atoms
# Total energy ... -5.26 eV/atom
# ΔE to the lowest computed polymorph ... 0.0000 eV per atom
data_Pr2DyTe4
_chemical_formula_sum 'Pr8 Dy4 Te16'
_space_group_name_H-M_alt 'I m m a'
_space_group_IT_number 74
_space_group_name_Hall '-I 2b 2'
_cell_length_a 8.912
_cell_length_b 8.928
_cell_length_c 12.406
_cell_angle_alpha 90.00
_cell_angle_beta 90.00
_cell_angle_gamma 90.00
loop_
_atom_site_label
_atom_site_type_symbol
_atom_site_fract_x
_atom_site_fract_y
_atom_site_fract_z
Pr1 Pr 0.000 0.000 0.000
Pr2 Pr 0.250 0.250 0.250
Dy1 Dy 0.250 0.250 0.750
Te1 Te 0.000 0.008 0.739
Te2 Te 0.243 0.250 0.504

***

4.
# CdIr4Ru PBE optimized geometry
# Total energy ... -7.09 eV/atom
# DFT formation energy ... 0.520 eV/atom
data_CdIr4Ru
_chemical_formula_sum 'Cd4 Ir16 Ru4'
_space_group_name_H-M_alt 'F -4 3 m'
_space_group_IT_number 216
_space_group_name_Hall 'F -4 2 3'
_cell_length_a 7.356
_cell_length_b 7.356
_cell_length_c 7.356
_cell_angle_alpha 90.00
_cell_angle_beta 90.00
_cell_angle_gamma 90.00
loop_
_atom_site_label
_atom_site_type_symbol
_atom_site_fract_x
_atom_site_fract_y
_atom_site_fract_z
Cd1 Cd 0.000 0.000 0.000
Ir1 Ir 0.125 0.125 0.625
Ru1 Ru 0.250 0.250 0.250

***

5.
# Ca2BeNi3P4 PBE optimized geometry
# Total energy ... -5.43 eV/atom
# DFT formation energy ... -0.756 eV/atom
data_Ca2BeNi3P4
_chemical_formula_sum 'Ca2 Be1 Ni3 P4'
_space_group_name_H-M_alt 'P -4 m 2'
_space_group_IT_number 115
_cell_length_a 3.920
_cell_length_b 3.920
_cell_length_c 9.461
_cell_angle_alpha 90.00
_cell_angle_beta 90.00
_cell_angle_gamma 90.00
loop_
_space_group_symop_operation_xyz
'x,y,z'
'y,-x,-z'
'-x,-y,z'
'-y,x,-z'
'-x,y,z'
'-y,-x,-z'
'x,-y,z'
'y,x,-z'
loop_
_atom_site_label
_atom_site_type_symbol
_atom_site_fract_x
_atom_site_fract_y
_atom_site_fract_z
Ca1 Ca 0.000 0.500 0.248
Be1 Be 0.000 0.000 0.500
Ni1 Ni 0.000 0.500 0.879
Ni2 Ni 0.500 0.500 0.500
P1 P 0.000 0.000 0.000
P2 P 0.000 0.500 0.634
P3 P 0.500 0.500 0.000

***

6.
# LaNiHg2As PBE optimized geometry
# Total energy ... -3.49 eV/atom
# DFT formation energy ... -0.296 eV/atom
data_LaNiHg2As
_chemical_formula_sum 'La1 Ni1 Hg2 As1'
_space_group_name_H-M_alt 'P 4/m m m'
_space_group_IT_number 123
_space_group_name_Hall '-P 4 2'
_cell_length_a 4.938
_cell_length_b 4.938
_cell_length_c 4.827
_cell_angle_alpha 90.00
_cell_angle_beta 90.00
_cell_angle_gamma 90.00
loop_
_atom_site_label
_atom_site_type_symbol
_atom_site_fract_x
_atom_site_fract_y
_atom_site_fract_z
La1 La 0.000 0.000 0.000
Ni1 Ni 0.500 0.500 0.500
Hg1 Hg 0.000 0.500 0.500
As1 As 0.500 0.500 0.000

***

7.
# Sb2TeMoCl PBE optimized geometry
# Formation energy without anion corrections ... 21.2 kJ per mole of atoms
# Total energy ... -4.59 eV/atom
# ΔE to the lowest computed polymorph ... 0.0000 eV per atom
data_Sb2TeMoCl
_chemical_formula_sum 'Sb2 Te1 Mo1 Cl1'
_space_group_name_H-M_alt 'P 4/m m m'
_space_group_IT_number 123
_space_group_name_Hall '-P 4 2'
_cell_length_a 5.273
_cell_length_b 5.273
_cell_length_c 5.193
_cell_angle_alpha 90.00
_cell_angle_beta 90.00
_cell_angle_gamma 90.00
loop_
_atom_site_label
_atom_site_type_symbol
_atom_site_fract_x
_atom_site_fract_y
_atom_site_fract_z
Sb1 Sb 0.000 0.500 0.000
Te1 Te 0.000 0.000 0.500
Mo1 Mo 0.000 0.000 0.000
Cl1 Cl 0.500 0.500 0.500

***

8.
# ZrAuSe2 PBE optimized geometry
# Formation energy without anion corrections ... -60.0 kJ per mole of atoms
# Total energy ... -5.32 eV/atom
# ΔE to the lowest computed polymorph ... 0.1885 eV per atom
data_ZrAuSe2
_chemical_formula_sum 'Zr1 Au1 Se2'
_space_group_name_H-M_alt 'P 1 2/m 1'
_space_group_IT_number 10
_cell_length_a 3.487
_cell_length_b 3.498
_cell_length_c 6.762
_cell_angle_alpha 90.00
_cell_angle_beta 99.28
_cell_angle_gamma 90.00
loop_
_space_group_symop_operation_xyz
'x,y,z'
'-x,-y,-z'
'-x,y,-z'
'x,-y,z'
loop_
_atom_site_label
_atom_site_type_symbol
_atom_site_fract_x
_atom_site_fract_y
_atom_site_fract_z
Zr1 Zr 0.000 0.000 0.000
Au1 Au 0.000 0.000 0.500
Se1 Se 0.397 0.500 0.776

***

9.
# CsHfTe2I PBE optimized geometry
# Formation energy without anion corrections ... 126.9 kJ per mole of atoms
# Total energy ... -2.41 eV/atom
# ΔE to the lowest computed polymorph ... 2.1689 eV per atom
data_CsHfTe2I
_chemical_formula_sum 'Cs1 Hf1 Te2 I1'
_space_group_name_H-M_alt 'P 4/m m m'
_space_group_IT_number 123
_space_group_name_Hall '-P 4 2'
_cell_length_a 6.178
_cell_length_b 6.178
_cell_length_c 6.646
_cell_angle_alpha 90.00
_cell_angle_beta 90.00
_cell_angle_gamma 90.00
loop_
_atom_site_label
_atom_site_type_symbol
_atom_site_fract_x
_atom_site_fract_y
_atom_site_fract_z
Cs1 Cs 0.000 0.000 0.000
Hf1 Hf 0.500 0.500 0.500
Te1 Te 0.000 0.500 0.000
I1 I 0.000 0.000 0.500

***

10.
# Sr3Be PBE optimized geometry
# Total energy ... -1.83 eV/atom
# ΔE to the lowest computed polymorph ... 0.0905 eV per atom
# DFT formation energy ... 0.366 eV/atom
data_Sr3Be
_chemical_formula_sum 'Sr3 Be1'
_space_group_name_H-M_alt 'P -6 m 2'
_space_group_IT_number 187
_space_group_name_Hall 'P -6 2'
_cell_length_a 4.2259
_cell_length_b 4.2259
_cell_length_c 11.1953
_cell_angle_alpha 90.00
_cell_angle_beta 90.00
_cell_angle_gamma 120.00
loop_
_atom_site_label
_atom_site_type_symbol
_atom_site_fract_x
_atom_site_fract_y
_atom_site_fract_z
Sr1 Sr 0.0000 0.0000 0.0000
Sr2 Sr 0.6667 0.3333 0.3214
Be1 Be 0.0000 0.0000 0.5000

***

11.
# Re2SbSe PBE optimized geometry
# Formation energy without anion corrections ... 84.3 kJ per mole of atoms
# Total energy ... -7.25 eV/atom
# ΔE to the lowest computed polymorph ... 0.6907 eV per atom
data_Re2SbSe
_chemical_formula_sum 'Re4 Sb2 Se2'
_space_group_name_H-M_alt 'I -4 m 2'
_space_group_IT_number 119
_space_group_name_Hall 'I -4 -2'
_cell_length_a 4.186
_cell_length_b 4.186
_cell_length_c 7.874
_cell_angle_alpha 90.00
_cell_angle_beta 90.00
_cell_angle_gamma 90.00
loop_
_atom_site_label
_atom_site_type_symbol
_atom_site_fract_x
_atom_site_fract_y
_atom_site_fract_z
Re1 Re 0.000 0.000 0.000
Re2 Re 0.000 0.500 0.250
Sb1 Sb 0.000 0.500 0.750
Se1 Se 0.000 0.000 0.500

***

12.
# Pr6HgIr2Cl3 PBE optimized geometry
# Formation energy without anion corrections ... -104.2 kJ per mole of atoms
# Total energy ... -5.43 eV/atom
data_Pr6HgIr2Cl3
_chemical_formula_sum 'Pr12 Hg2 Ir4 Cl6'
_space_group_name_H-M_alt 'C 1 2/m 1'
_space_group_IT_number 12
_cell_length_a 20.754
_cell_length_b 4.113
_cell_length_c 8.884
_cell_angle_alpha 90.00
_cell_angle_beta 105.91
_cell_angle_gamma 90.00
loop_
_space_group_symop_operation_xyz
'x,y,z'
'-x,-y,-z'
'-x,y,-z'
'x,-y,z'
'x+1/2,y+1/2,z'
'-x+1/2,-y+1/2,-z'
'-x+1/2,y+1/2,-z'
'x+1/2,-y+1/2,z'
loop_
_atom_site_label
_atom_site_type_symbol
_atom_site_fract_x
_atom_site_fract_y
_atom_site_fract_z
Pr1 Pr 0.031 0.000 0.277
Pr2 Pr 0.159 0.500 0.115
Pr3 Pr 0.188 0.500 0.581
Hg1 Hg 0.000 0.500 0.000
Ir1 Ir 0.169 0.000 0.344
Cl1 Cl 0.000 0.500 0.500
Cl2 Cl 0.180 0.000 0.856

***

Q: Look up the total energy of the eleventh one.
A: -7.25 eV/atom

***

Q: What is the formula in the tenth record?
A: Sr3Be

***

Q: Which value of total energy does entry 2 give?
A: -6.04 eV/atom

***

Q: Look up the total energy of the first one.
A: -6.02 eV/atom